1.
An optimized crystal structure of LaNb2GaH, computed with GGA-PBEsol.

Structure (POSCAR):
```
LaNb2GaH
1.0
-0.2880 3.8268 -1.7038
-2.1407 1.3335 3.3570
4.1418 1.2641 2.1391
H Nb Ga La
1 2 1 1
direct
0.0000 0.0000 0.0000
0.0000 0.5000 0.0000
0.5000 0.0000 0.0000
0.0000 0.0000 0.5000
0.5000 0.5000 0.5000
```

- Magnetization: 0.00 μB per atom
- Calculated density: 7.71 g/cm³
- Final energy: -6.574 eV per atom

=====

2.
An optimized crystal structure of CoHg2Br, computed with GGA-PBEsol.

Structure (POSCAR):
```
CoHg2Br
1.0
4.8713 0.0000 0.0000
2.4356 4.2186 0.0000
2.4356 1.4062 3.9774
Co Hg Br
1 2 1
direct
0.7500 0.7500 0.7500
0.0000 0.0000 0.0000
0.2500 0.2500 0.2500
0.5000 0.5000 0.5000
```

- Formation energy from raw total energies: 2.51 eV/f.u.
- Magnetization: 0.48 μB per atom
- Calculated density: 10.97 g/cm³
- Energy relative to the lowest polymorph listed for this composition: 373 meV/atom

=====

3.
An optimized crystal structure of LaBeRe2, computed with GGA-PBEsol.

Structure (POSCAR):
```
LaBeRe2
1.0
3.0913 0.0000 0.0000
0.0000 4.9571 0.0000
-1.5457 -2.4786 4.6197
Re Be La
2 1 1
direct
0.0348 0.0348 0.0695
0.7496 0.2496 0.4993
0.4611 0.4611 0.9223
0.2545 0.7545 0.5089
```

- Magnetization: 0.00 μB per atom
- Calculated density: 12.21 g/cm³
- ΔH_f (0 K): 0.7437 eV/atom

=====

4.
An optimized crystal structure of Fe4PtSe, computed with GGA-PBEsol.

Structure (POSCAR):
```
Fe4PtSe
1.0
4.7776 0.0000 0.0000
2.3888 4.1375 0.0000
2.3888 1.3792 3.9009
Fe Pt Se
4 1 1
direct
0.6249 0.1253 0.6249
0.6249 0.6249 0.1253
0.1253 0.6249 0.6249
0.6249 0.6249 0.6249
0.2500 0.2500 0.2500
0.0000 0.0000 0.0000
```

- Formation energy from raw total energies: 1.81 eV/f.u.
- Magnetization: 1.61 μB per atom
- Calculated density: 10.71 g/cm³

=====

5.
An optimized crystal structure of SiRhOF2, computed with GGA-PBEsol.

Structure (POSCAR):
```
SiRhOF2
1.0
3.7337 0.0000 0.0000
0.0000 3.7337 0.0000
0.0000 0.0000 4.9103
Si Rh O F
1 1 1 2
direct
0.0000 0.0000 0.5000
0.0000 0.0000 0.0000
0.5000 0.5000 0.5000
0.0000 0.5000 0.0000
0.5000 0.0000 0.0000
```

- Formation energy from raw total energies: -1.78 eV/f.u.
- Magnetization: 0.03 μB per atom
- Calculated density: 4.49 g/cm³

=====

6.
An optimized crystal structure of FeGe2, computed with GGA-PBEsol.

Structure (POSCAR):
```
FeGe2
1.0
-0.8204 -0.5568 4.6641
3.1769 -2.8620 -2.1103
1.8012 4.3938 -0.4323
Fe Ge
2 4
direct
0.2500 0.2500 0.0000
0.7500 0.7500 0.0000
0.3434 0.1566 0.5000
0.6566 0.8434 0.5000
0.1566 0.6566 0.8132
0.8434 0.3434 0.1868
```

- Magnetization: 0.35 μB per atom
- Calculated density: 8.16 g/cm³
- ΔH_f (0 K): -0.1478 eV/atom

=====

7.
An optimized crystal structure of KPd2Au2, computed with GGA-PBEsol.

Structure (POSCAR):
```
KPd2Au2
1.0
2.7876 0.0000 0.0000
0.0000 8.1438 0.0000
0.0000 0.0000 8.1438
K Au Pd
2 4 4
direct
0.0000 0.0000 0.0000
0.0000 0.5000 0.5000
0.5000 0.1755 0.6755
0.5000 0.6755 0.8245
0.5000 0.8245 0.3245
0.5000 0.3245 0.1755
0.0000 0.3810 0.8810
0.0000 0.8810 0.6190
0.0000 0.6190 0.1190
0.0000 0.1190 0.3810
```

- Magnetization: 0.00 μB per atom
- Calculated density: 11.60 g/cm³
- ΔH_f (0 K): -0.0890 eV/atom
- Energy relative to the lowest polymorph listed for this composition: 0 meV/atom

=====

8.
An optimized crystal structure of CsNb3Tl, computed with GGA-PBEsol.

Structure (POSCAR):
```
CsNb3Tl
1.0
-5.2023 -1.0107 -0.1660
-0.0382 -0.6676 5.2598
-1.0235 5.1619 0.6477
Cs Tl Nb
1 1 3
direct
0.5000 0.5000 0.5000
0.0000 0.0000 0.0000
0.0000 0.5000 0.0000
0.0000 0.0000 0.5000
0.5000 0.0000 0.0000
```

- Magnetization: 0.80 μB per atom
- Calculated density: 6.86 g/cm³
- ΔH_f (0 K): 2.2614 eV/atom

=====

9.
An optimized crystal structure of Te3W2Se, computed with GGA-PBEsol.

Structure (POSCAR):
```
Te3W2Se
1.0
-1.9357 1.4490 -2.4400
-1.3409 -2.4054 2.0534
-7.8063 19.5479 17.8015
Te W Se
6 4 2
direct
0.0000 0.0000 0.6882
0.0000 0.0000 0.1767
0.6667 0.3333 0.5661
0.6667 0.3333 0.4325
0.0000 0.0000 0.8218
0.0000 0.0000 0.3103
0.0000 0.0000 0.9993
0.0000 0.0000 0.4993
0.6667 0.3333 0.7550
0.6667 0.3333 0.2435
0.6667 0.3333 0.0581
0.6667 0.3333 0.9406
```

- Formation energy from raw total energies: -1.14 eV/f.u.
- Magnetization: 0.00 μB per atom
- Calculated density: 9.78 g/cm³

=====

10.
An optimized crystal structure of ZrSn2PtS, computed with GGA-PBEsol.

Structure (POSCAR):
```
ZrSn2PtS
1.0
-3.6722 0.2379 2.5139
-2.3241 -3.5359 -3.0603
1.8312 -3.8326 3.0376
Zr S Sn Pt
1 1 2 1
direct
0.5000 0.5000 0.5000
0.5000 0.0000 0.0000
0.0000 0.0000 0.5000
0.0000 0.5000 0.0000
0.0000 0.0000 0.0000
```

- Formation energy from raw total energies: 1.86 eV/f.u.
- Magnetization: 0.00 μB per atom
- Calculated density: 7.59 g/cm³

=====

11.
An optimized crystal structure of NaZrHgB2, computed with GGA-PBEsol.

Structure (POSCAR):
```
NaZrHgB2
1.0
-2.4211 -3.6010 -0.0645
1.2468 -0.9108 4.0557
-3.6659 2.4347 1.6737
Na B Hg Zr
1 2 1 1
direct
0.0000 0.0000 0.0000
0.0000 0.5000 0.0000
0.5000 0.0000 0.0000
0.5000 0.5000 0.5000
0.0000 0.0000 0.5000
```

- Magnetization: 0.00 μB per atom
- Calculated density: 6.30 g/cm³
- ΔH_f (0 K): 2.1109 eV/atom

=====

12.
An optimized crystal structure of Al2SbMo, computed with GGA-PBEsol.

Structure (POSCAR):
```
Al2SbMo
1.0
3.4832 0.0000 0.0000
0.0000 3.4832 0.0000
0.0000 0.0000 5.6489
Sb Mo Al
1 1 2
direct
0.5000 0.5000 0.7439
0.0000 0.0000 0.4828
0.0000 0.0000 0.0158
0.5000 0.5000 0.2575
```

- Formation energy from raw total energies: 0.17 eV/f.u.
- Magnetization: 0.00 μB per atom
- Calculated density: 6.58 g/cm³

=====

13.
An optimized crystal structure of SbH3NF6, computed with GGA-PBEsol.

Structure (POSCAR):
```
SbH3NF6
1.0
-4.2876 5.2014 2.2585
-1.7683 -6.6817 1.6633
6.0689 0.8493 8.7315
Sb H N F
4 12 4 24
direct
0.5000 0.5000 0.5000
0.5000 0.5000 0.0000
0.8483 0.1517 0.2500
0.1517 0.8483 0.7500
0.0047 0.2534 0.6625
0.7466 0.9953 0.8375
0.9953 0.7466 0.3375
0.2534 0.0047 0.1625
0.7703 0.0239 0.6378
0.9761 0.2297 0.8622
0.2297 0.9761 0.3622
0.0239 0.7703 0.1378
0.7689 0.2651 0.6507
0.7349 0.2311 0.8493
0.2311 0.7349 0.3493
0.2651 0.7689 0.1507
0.8437 0.1762 0.6829
0.8238 0.1563 0.8171
0.1563 0.8238 0.3171
0.1762 0.8437 0.1829
0.2921 0.4808 0.6137
0.5192 0.7079 0.8863
0.7079 0.5192 0.3863
0.4808 0.2921 0.1137
0.3281 0.2074 0.4489
0.7926 0.6719 0.0511
0.6719 0.7926 0.5511
0.2074 0.3281 0.9489
0.6410 0.4101 0.6223
0.5899 0.3590 0.8777
0.3590 0.5899 0.3777
0.4101 0.6410 0.1223
0.7982 0.8697 0.2815
0.1303 0.2018 0.2185
0.2018 0.1303 0.7185
0.8697 0.7982 0.7815
0.5607 0.0715 0.2858
0.9285 0.4393 0.2142
0.4393 0.9285 0.7142
0.0715 0.5607 0.7858
0.9201 0.2314 0.4235
0.7686 0.0799 0.0765
0.0799 0.7686 0.5765
0.2314 0.9201 0.9235
```

- Magnetization: 0.00 μB per atom
- Calculated density: 3.52 g/cm³
- Final energy: -4.860 eV per atom

=====

14.
An optimized crystal structure of LiSi2Pt, computed with GGA-PBEsol.

Structure (POSCAR):
```
LiSi2Pt
1.0
-1.9863 1.5051 -1.0919
-1.9642 0.1623 3.7969
2.4913 4.0958 1.1137
Si Pt Li
2 1 1
direct
0.5000 0.0000 0.0084
0.5000 0.5000 0.7385
0.5000 0.5000 0.2575
0.0000 0.0000 0.4956
```

- Formation energy from raw total energies: -1.40 eV/f.u.
- Magnetization: 0.00 μB per atom
- Calculated density: 7.48 g/cm³
- Energy relative to the lowest polymorph listed for this composition: 12 meV/atom

=====

15.
An optimized crystal structure of EuZnIn, computed with GGA-PBEsol.

Structure (POSCAR):
```
EuZnIn
1.0
-1.8346 -4.0145 1.5657
3.8457 -3.2860 3.0849
-2.1612 0.4621 5.6567
Eu Zn In
2 2 2
direct
0.4553 0.7895 0.2999
0.5447 0.2105 0.7001
0.8469 0.6066 0.6996
0.1531 0.3934 0.3004
0.1714 0.7670 0.8901
0.8286 0.2330 0.1099
```

- Magnetization: 2.33 μB per atom
- Calculated density: 7.74 g/cm³
- ΔH_f (0 K): -0.4232 eV/atom

=====

16.
An optimized crystal structure of YBeW, computed with GGA-PBEsol.

Structure (POSCAR):
```
YBeW
1.0
-2.7526 3.1189 0.8508
-4.0931 -0.9060 0.6737
-1.6441 0.3761 3.8966
Y Be W
1 1 1
direct
0.5000 0.5000 0.5000
0.2500 0.2500 0.2500
0.0000 0.0000 0.0000
```

- Magnetization: 0.00 μB per atom
- Calculated density: 8.64 g/cm³
- ΔH_f (0 K): 0.8420 eV/atom
- Energy relative to the lowest polymorph listed for this composition: 459 meV/atom

=====

17.
An optimized crystal structure of Ca2ScPt, computed with GGA-PBEsol.

Structure (POSCAR):
```
Ca2ScPt
1.0
3.4108 0.0000 0.0000
0.0000 3.4108 0.0000
0.0000 0.0000 8.8404
Sc Ca Pt
1 2 1
direct
0.5000 0.5000 0.5000
0.0000 0.0000 0.8090
0.0000 0.0000 0.1910
0.5000 0.5000 0.0000
```

- Magnetization: 0.13 μB per atom
- Calculated density: 5.17 g/cm³
- ΔH_f (0 K): -0.2926 eV/atom
- Energy relative to the lowest polymorph listed for this composition: 0 meV/atom

=====

18.
An optimized crystal structure of Li2LaCu, computed with GGA-PBEsol.

Structure (POSCAR):
```
Li2LaCu
1.0
4.0905 0.0000 0.0000
0.0000 4.0905 0.0000
-2.0452 -2.0452 5.1481
Cu La Li
1 1 2
direct
0.5000 0.5000 0.0000
0.0000 0.0000 0.0000
0.7500 0.2500 0.5000
0.2500 0.7500 0.5000
```

- Magnetization: 0.00 μB per atom
- Calculated density: 4.17 g/cm³
- ΔH_f (0 K): 0.1546 eV/atom
- Energy relative to the lowest polymorph listed for this composition: 118 meV/atom

=====

19.
An optimized crystal structure of LaFeTc, computed with GGA-PBEsol.

Structure (POSCAR):
```
LaFeTc
1.0
4.3369 0.0000 0.0000
2.1685 3.7559 0.0000
2.1685 1.2520 3.5411
Fe La Tc
1 1 1
direct
0.5000 0.5000 0.5000
0.2500 0.2500 0.2500
0.0000 0.0000 0.0000
```

- Magnetization: 1.13 μB per atom
- Calculated density: 8.43 g/cm³
- ΔH_f (0 K): 1.3995 eV/atom

=====

20.
An optimized crystal structure of TlZn3P, computed with GGA-PBEsol.

Structure (POSCAR):
```
TlZn3P
1.0
-0.8173 -2.2978 -4.0248
-0.2263 -4.0622 2.3652
-4.6290 0.6044 0.5950
P Tl Zn
1 1 3
direct
0.0000 0.0000 0.0000
0.5000 0.5000 0.5000
0.0000 0.5000 0.0000
0.0000 0.0000 0.5000
0.5000 0.0000 0.0000
```

- Magnetization: 0.00 μB per atom
- Calculated density: 6.88 g/cm³
- ΔH_f (0 K): 0.3185 eV/atom

=====

21.
An optimized crystal structure of ScTcIr2C, computed with GGA-PBEsol.

Structure (POSCAR):
```
ScTcIr2C
1.0
4.5713 0.0000 0.0000
0.0000 4.5713 0.0000
0.0000 0.0000 4.8853
Sc C Ir Tc
1 1 2 1
direct
0.0000 0.0000 0.5000
0.5000 0.5000 0.5000
0.0000 0.5000 0.0000
0.5000 0.0000 0.0000
0.0000 0.0000 0.0000
```

- Magnetization: 0.21 μB per atom
- Calculated density: 8.77 g/cm³
- ΔH_f (0 K): 2.3266 eV/atom

=====

22.
An optimized crystal structure of NbGe2BiO, computed with GGA-PBEsol.

Structure (POSCAR):
```
NbGe2BiO
1.0
-3.7884 -0.7896 -0.3475
0.8746 -4.8766 1.5465
-0.7504 1.4297 4.9327
Nb Ge Bi O
1 2 1 1
direct
0.0000 0.0000 0.0000
0.0000 0.0000 0.5000
0.0000 0.5000 0.0000
0.5000 0.5000 0.5000
0.5000 0.0000 0.0000
```

- Formation energy from raw total energies: -1.49 eV/f.u.
- Magnetization: 0.00 μB per atom
- Calculated density: 7.35 g/cm³

=====

23.
An optimized crystal structure of Te2IrBr, computed with GGA-PBEsol.

Structure (POSCAR):
```
Te2IrBr
1.0
3.9273 0.0000 0.0000
1.9636 3.4011 0.0000
1.9636 1.1337 7.4389
Ir Te Br
1 2 1
direct
0.0000 0.0000 0.0000
0.2726 0.2726 0.1822
0.7274 0.7274 0.8178
0.5000 0.5000 0.5000
```

- Formation energy from raw total energies: -0.94 eV/f.u.
- Magnetization: 0.00 μB per atom
- Calculated density: 8.81 g/cm³
- Energy relative to the lowest polymorph listed for this composition: 0 meV/atom

=====

24.
An optimized crystal structure of Ta2InW, computed with GGA-PBEsol.

Structure (POSCAR):
```
Ta2InW
1.0
-0.1984 -2.2699 -2.6994
4.0237 -1.5915 1.0425
-1.8860 -3.0162 2.6750
In Ta W
1 2 1
direct
0.5000 0.0000 0.0000
0.0000 0.0000 0.5000
0.0000 0.5000 0.0000
0.5000 0.5000 0.5000
```

- Magnetization: 0.00 μB per atom
- Calculated density: 15.67 g/cm³
- ΔH_f (0 K): 0.1607 eV/atom

=====

25.
An optimized crystal structure of Li2AgHg, computed with GGA-PBEsol.

Structure (POSCAR):
```
Li2AgHg
1.0
3.3452 0.0000 0.0000
0.0000 3.3452 0.0000
0.0000 0.0000 6.0728
Hg Ag Li
1 1 2
direct
0.5000 0.5000 0.7651
0.0000 0.0000 0.4784
0.0000 0.0000 0.9938
0.5000 0.5000 0.2627
```

- Magnetization: 0.00 μB per atom
- Calculated density: 7.88 g/cm³
- ΔH_f (0 K): -0.2177 eV/atom

=====

26.
An optimized crystal structure of Sm8Sb3O8, computed with GGA-PBEsol.

Structure (POSCAR):
```
Sm8Sb3O8
1.0
-2.5386 2.4555 1.4939
-4.0709 2.0327 -5.3370
-11.2363 -9.5003 1.4437
Sb Sm O
3 8 8
direct
0.1770 0.9171 0.7339
0.8280 0.0829 0.2661
0.0026 0.0000 0.0000
0.7206 0.6523 0.9117
0.2846 0.3477 0.0883
0.6478 0.1374 0.5719
0.3571 0.8626 0.4281
0.8823 0.5877 0.6528
0.1227 0.4123 0.3472
0.4586 0.2580 0.8299
0.5465 0.7420 0.1701
0.4743 0.4170 0.6394
0.5307 0.5830 0.3606
0.8847 0.4359 0.7997
0.1204 0.5641 0.2003
0.1658 0.1856 0.4876
0.8391 0.8144 0.5124
0.2992 0.4728 0.9339
0.7060 0.5272 0.0661
```

- Formation energy from raw total energies: -52.80 eV/f.u.
- Magnetization: 0.00 μB per atom
- Calculated density: 7.51 g/cm³